1.
DFT (PBE) results for an optimized crystal structure of Mg2ZrRh.

a b c (Å): 4.708 4.708 6.610
angles (deg): 90.00 90.00 90.00
Space group I-4m2 (No. 119)
Symmetry-distinct sites (fractional):
Mg 0.000 0.000 0.000 x2
Mg 0.000 0.500 0.250 x2
Zr 0.000 0.500 0.750 x2
Rh 0.000 0.000 0.500 x2

Output
- E_tot (eV per atom) = -5.09

---

2.
DFT (PBE) results for an optimized crystal structure of Nd8Sm2Sc.

a b c (Å): 5.756 8.056 16.349
angles (deg): 90.00 90.00 90.00
Space group Immm (No. 71)
Symmetry-distinct sites (fractional):
Nd 0.000 0.000 0.166 x4
Nd 0.000 0.209 0.370 x8
Nd 0.000 0.282 0.000 x4
Sm 0.000 0.500 0.200 x4
Sc 0.000 0.500 0.500 x2

Output
- E_tot (eV per atom) = -4.79

---

3.
DFT (PBE) results for an optimized crystal structure of Cd8InPt6.

a b c (Å): 7.9559 7.9559 16.8050
angles (deg): 90.00 90.00 120.00
Space group R-3 (No. 148, hexagonal axes)
Symmetry-distinct sites (fractional):
Cd 0.0000 0.0000 0.1669 x6
Cd 0.0021 0.6601 0.3799 x18
In 0.0000 0.0000 0.5000 x3
Pt 0.0006 0.6722 0.5485 x18

Output
- E_tot (eV per atom) = -3.38

---

> What is the E_tot in the first record?

-5.09 eV per atom